one.
# Al4Zn2Ga3

Al4Zn2Ga3 after structural relaxation (PBE, Alexandria via LeMat-Bulk).

a b c (Å): 9.7147 11.7933 5.6121
angles (deg): 90.00 95.10 90.00
Space group C2/c (No. 15)
Symmetry-distinct sites (fractional):
1 Al 0.1053 0.0863 0.4653
2 Al 0.1242 0.4966 0.3904
3 Zn 0.1627 0.3018 0.6553
4 Ga 0.0000 0.2891 0.2500
5 Ga 0.1615 0.1377 0.9637

Values from the calculation:
Density of states at the Fermi level = 13.744 states/eV per cell



two.
# Al4Zn2Ga3

Al4Zn2Ga3 after structural relaxation (PBE, Alexandria via LeMat-Bulk).

a b c (Å): 13.1607 3.8430 6.3460
angles (deg): 90.00 108.24 90.00
Space group C2/m (No. 12)
Symmetry-distinct sites (fractional):
1 Al 0.0600 0.0000 0.3337
2 Al 0.2230 0.5000 0.3309
3 Zn 0.1708 0.0000 0.0009
4 Ga 0.0000 0.5000 0.0000
5 Ga 0.1120 0.5000 0.6675

Values from the calculation:
Density of states at the Fermi level = 5.737 states/eV per cell



Of them, two has the highest stability.



one.
# ZrAl4Ga

ZrAl4Ga after structural relaxation (PBE, Alexandria via LeMat-Bulk).

a b c (Å): 4.3011 10.1176 9.7168
angles (deg): 90.00 90.00 90.00
Space group Cmc2_1 (No. 36)
Symmetry-distinct sites (fractional):
1 Zr 0.0000 0.1648 0.0000
2 Al 0.0000 0.0053 0.7400
3 Al 0.0000 0.1413 0.4682
4 Al 0.0000 0.3126 0.7294
5 Al 0.0000 0.4737 0.0521
6 Ga 0.0000 0.3415 0.2887

Values from the calculation:
Density of states at the Fermi level = 7.786 states/eV per cell



two.
# ZrAl4Ga

ZrAl4Ga after structural relaxation (PBE, Alexandria via LeMat-Bulk).

a b c (Å): 5.2033 5.2033 18.9937
angles (deg): 90.00 90.00 90.00
Space group I4_1/amd (No. 141, origin choice 2)
Symmetry-distinct sites (fractional):
1 Zr 0.0000 0.2500 0.3750
2 Al 0.0000 0.0075 0.2346
3 Ga 0.0000 0.2500 0.8750

Values from the calculation:
Density of states at the Fermi level = 8.147 states/eV per cell



Of them, one has the highest stability.



one.
# ZrAl3Ga

ZrAl3Ga after structural relaxation (PBE, Alexandria via LeMat-Bulk).

a b c (Å): 9.6043 5.6089 6.9976
angles (deg): 90.00 90.00 90.00
Space group Pnma (No. 62)
Symmetry-distinct sites (fractional):
1 Zr 0.0680 0.2500 0.1616
2 Al 0.0889 0.7500 0.1810
3 Al 0.2010 0.5009 0.8507
4 Ga 0.0000 0.0000 0.5000

Values from the calculation:
Density of states at the Fermi level = 9.049 states/eV per cell



two.
# ZrAl3Ga

ZrAl3Ga after structural relaxation (PBE, Alexandria via LeMat-Bulk).

a b c (Å): 5.3079 5.3079 5.3079
angles (deg): 90.00 90.00 90.00
Space group Pm-3m (No. 221)
Symmetry-distinct sites (fractional):
1 Zr 0.0000 0.0000 0.0000
2 Al 0.0000 0.0000 0.5000
3 Ga 0.5000 0.5000 0.5000

Values from the calculation:
Density of states at the Fermi level = 8.031 states/eV per cell



Of them, one has the highest stability.



one.
# ZrAlGa4

ZrAlGa4 after structural relaxation (PBE, Alexandria via LeMat-Bulk).

a b c (Å): 5.1879 5.1879 18.6366
angles (deg): 90.00 90.00 90.00
Space group I4_1/amd (No. 141, origin choice 2)
Symmetry-distinct sites (fractional):
1 Zr 0.0000 0.2500 0.3750
2 Al 0.0000 0.2500 0.8750
3 Ga 0.0000 0.0076 0.2374

Values from the calculation:
Density of states at the Fermi level = 8.697 states/eV per cell



two.
# ZrAlGa4

ZrAlGa4 after structural relaxation (PBE, Alexandria via LeMat-Bulk).

a b c (Å): 9.7529 4.6745 5.6154
angles (deg): 90.00 124.66 90.00
Space group C2/m (No. 12)
Symmetry-distinct sites (fractional):
1 Zr 0.0000 0.0000 0.0000
2 Al 0.0000 0.0000 0.5000
3 Ga 0.1700 0.5000 0.4266
4 Ga 0.1708 0.5000 0.9172

Values from the calculation:
Density of states at the Fermi level = 6.141 states/eV per cell



Of them, two has the highest stability.